No. 1
A plane-wave DFT calculation with PBE-GGA was carried out for a geometry-optimized GaOs structure.

The structure belongs to space group I4/m (No. 87); the cell edges are 9.233, 9.233 and 3.624 Å and the angles 90.00°, 90.00° and 90.00°. Symmetry generates all atoms from Ga at (0.137, 0.795, 0.000) and Os at (0.073, 0.371, 0.000).

The value obtained for the energy of formation from the pure elements is 346 meV per atom. The calculation puts the volume at 19.3 A^3/atom. The calculation puts the total moment at 0.000 μB per formula unit. The calculation puts the calculated total energy at -6.783 eV per atom.


No. 2
A plane-wave DFT calculation with PBE-GGA was carried out for a geometry-optimized GaOs structure.

The structure belongs to space group F-43m (No. 216); the cell edges are 5.631, 5.631 and 5.631 Å and the angles 90.00°, 90.00° and 90.00°. Symmetry generates all atoms from Ga at (0.000, 0.000, 0.000) and Os at (0.250, 0.250, 0.750).

The value obtained for the energy of formation from the pure elements is 1546 meV per atom. The calculation puts the volume at 22.3 A^3/atom. The calculation puts the total moment at 1.096 μB per formula unit. The calculation puts the calculated total energy at -5.582 eV per atom.


No. 3
A plane-wave DFT calculation with PBE-GGA was carried out for a geometry-optimized GaOs structure.

The structure belongs to space group C2/m (No. 12); the cell edges are 9.535, 2.850 and 5.107 Å and the angles 90.00°, 121.44° and 90.00°. Symmetry generates all atoms from Ga at (0.010, 0.000, 0.263) and Os at (0.224, 0.500, 0.205).

The value obtained for the energy of formation from the pure elements is 110 meV per atom. The calculation puts the volume at 14.8 A^3/atom. The calculation puts the total moment at 0.000 μB per formula unit. The calculation puts the calculated total energy at -7.018 eV per atom.


No. 4
A plane-wave DFT calculation with PBE-GGA was carried out for a geometry-optimized GaOs structure.

The structure belongs to space group C2/m (No. 12); the cell edges are 9.552, 2.868 and 4.546 Å and the angles 90.00°, 110.41° and 90.00°. Symmetry generates all atoms from Ga at (0.111, 0.000, 0.301) and Os at (0.138, 0.500, 0.804).

The value obtained for the energy of formation from the pure elements is 35 meV per atom. The calculation puts the volume at 14.6 A^3/atom. The calculation puts the total moment at 0.000 μB per formula unit. The calculation puts the calculated total energy at -7.094 eV per atom.


No. 5
A plane-wave DFT calculation with PBE-GGA was carried out for a geometry-optimized GaOs structure.

The structure belongs to space group R-3m (No. 166, hexagonal axes); the cell edges are 2.8528, 2.8528 and 12.4188 Å and the angles 90.00°, 90.00° and 120.00°. Symmetry generates all atoms from Ga at (0.0000, 0.0000, 0.0000) and Os at (0.0000, 0.0000, 0.5000).

The value obtained for the energy of formation from the pure elements is 155 meV per atom. The calculation puts the volume at 14.6 A^3/atom. The calculation puts the total moment at 0.000 μB per formula unit. The calculation puts the calculated total energy at -6.973 eV per atom.


No. 6
A plane-wave DFT calculation with PBE-GGA was carried out for a geometry-optimized GaOs structure.

The structure belongs to space group P4_2/mnm (No. 136); the cell edges are 5.039, 5.039 and 5.070 Å and the angles 90.00°, 90.00° and 90.00°. Symmetry generates all atoms from Ga at (0.197, 0.197, 0.000) and Os at (0.191, 0.191, 0.500).

The value obtained for the energy of formation from the pure elements is 785 meV per atom. The calculation puts the volume at 16.1 A^3/atom. The calculation puts the total moment at 0.565 μB per formula unit. The calculation puts the calculated total energy at -6.344 eV per atom.